{
  "formula": "RbNa2Bi2Pb2",
  "functional": "GGA-PBE",
  "state": "optimized geometry",
  "cell": [[-5.1063, 0.4593, 2.0667], [1.2346, -4.1675, -3.4160], [3.4887, -2.8736, 9.2582]],
  "species": ["Pb", "Pb", "Na", "Na", "Rb", "Bi", "Bi"],
  "frac_coords": [[0.4385, 0.8770, 0.3162], [0.5615, 0.1230, 0.6838], [0.1391, 0.2782, 0.4175], [0.8609, 0.7218, 0.5825], [0.0000, 0.0000, 0.0000], [0.7525, 0.5050, 0.2584], [0.2475, 0.4950, 0.7416]],
  "total_magnetization_mub_per_cell": 0.0,
  "final_energy_ev_per_cell": -20.4,
  "dos_ef_per_ev_fu": 2.37
}

{
  "formula": "RbNaBiPb",
  "functional": "GGA-PBE",
  "state": "optimized geometry",
  "cell": [[-4.0265, -3.3858, -2.5404], [0.5042, -5.8155, 0.2344], [-3.6864, -3.1215, 3.2858]],
  "species": ["Rb", "Pb", "Na", "Bi"],
  "frac_coords": [[0.0000, 0.0000, 0.0000], [0.7500, 0.7500, 0.7500], [0.2500, 0.2500, 0.2500], [0.5000, 0.5000, 0.5000]],
  "total_magnetization_mub_per_cell": 0.0,
  "final_energy_ev_per_cell": -10.5,
  "dos_ef_per_ev_fu": 1.45
}